Record 1
KGaC, relaxed, DFT PBE; total energy = -24.7 eV/cell; N(E_F) = 0.0 states/eV/f.u.; calculated volume = 28.82 Å³/atom
1.0
6.3987 -0.0118 -0.0058
-0.0217 4.7131 0.0025
2.5309 -2.0595 5.7301
Ga C K
2 2 2
direct
0.5866 0.2051 0.7241
0.7111 0.7493 0.7957
0.9944 0.4846 0.3944
0.8495 0.3222 0.4808
0.0980 0.8131 0.0684
0.4744 0.4926 0.3287

***

Record 2
InB, relaxed, DFT PBE; total energy = -28.7 eV/cell; N(E_F) = 0.9 states/eV/f.u.; energy above the lowest structure with this stoichiometry = 755 meV per atom; calculated volume = 15.76 Å³/atom
1.0
-2.7032 3.8872 -1.6510
-3.0045 -0.3925 3.9952
2.9679 3.1431 2.5408
B In
4 4
direct
0.5000 0.5000 0.5000
0.0000 0.5000 0.0000
0.5000 0.0000 0.0000
0.0000 0.0000 0.5000
0.5000 0.5000 0.0000
0.5000 0.0000 0.5000
0.0000 0.0000 0.0000
0.0000 0.5000 0.5000

***

Record 3
Ta2AgW, relaxed, DFT PBE; total energy = -38.4 eV/cell; N(E_F) = 4.7 states/eV/f.u.; energy above the lowest structure with this stoichiometry = 183 meV per atom; calculated volume = 17.54 Å³/atom
1.0
0.0000 3.2733 3.2733
3.2733 0.0000 3.2733
3.2733 3.2733 0.0000
Ag Ta W
1 2 1
direct
0.0000 0.0000 0.0000
0.2500 0.2500 0.2500
0.7500 0.7500 0.7500
0.5000 0.5000 0.5000

***

Record 4
BaAl3Ga, relaxed, DFT PBE; total energy = -9.1 eV/cell; N(E_F) = 12.7 states/eV/f.u.; energy above the lowest structure with this stoichiometry = 1739 meV per atom; calculated volume = 44.25 Å³/atom
1.0
-3.8891 -4.6283 -0.1841
2.2620 -2.1075 5.1983
-4.0421 3.2737 3.0861
Al Ba Ga
3 1 1
direct
0.5000 0.0000 0.0000
0.0000 0.5000 0.0000
0.0000 0.0000 0.5000
0.0000 0.0000 0.0000
0.5000 0.5000 0.5000

***

Record 5
U2FeTc, relaxed, DFT PBE; total energy = -40.6 eV/cell; N(E_F) = 7.1 states/eV/f.u.; calculated volume = 18.81 Å³/atom
1.0
3.7782 0.0000 0.0000
1.8891 3.2720 0.0000
1.8891 1.0907 6.0878
U Tc Fe
2 1 1
direct
0.2553 0.2553 0.2342
0.7447 0.7447 0.7658
0.5000 0.5000 0.5000
0.0000 0.0000 0.0000

***

Record 6
Li4BiPb, relaxed, DFT PBE; total energy = -16.3 eV/cell; N(E_F) = 2.8 states/eV/f.u.; energy above the lowest structure with this stoichiometry = 158 meV per atom; calculated volume = 24.81 Å³/atom
1.0
-2.0537 0.1854 -4.2013
1.1812 -4.4624 -0.7748
-5.8624 -2.0349 2.7726
Li Bi Pb
4 1 1
direct
0.5013 0.9970 0.2242
0.0012 0.4977 0.2243
0.5011 0.9971 0.7721
0.0016 0.4973 0.7721
0.5014 0.4971 0.9981
0.0012 0.9975 0.4981

***

Record 7
Ac3Pu2PaP6, relaxed, DFT PBE; total energy = -98.5 eV/cell; N(E_F) = 25.9 states/eV/f.u.; calculated volume = 26.45 Å³/atom
1.0
7.2766 -0.0007 0.0005
-3.6371 6.3023 0.0005
-1.2135 -2.1012 6.9200
P Pu Ac Pa
6 2 3 1
direct
0.4000 0.0726 0.2182
0.2541 0.2541 0.7805
0.9274 0.6000 0.7818
0.0726 0.4000 0.2182
0.6000 0.9274 0.7818
0.7459 0.7459 0.2195
0.6662 0.3338 0.0000
0.3338 0.6662 0.0000
0.8316 0.1684 0.5000
0.1684 0.8316 0.5000
0.5000 0.5000 0.5000
0.0000 0.0000 0.0000

***

Record 8
Cd3CuBr8, relaxed, DFT PBE; formation energy (no corrections) = -8.2 eV per formula unit; total energy = -28.4 eV/cell; N(E_F) = 3.8 states/eV/f.u.; calculated volume = 32.48 Å³/atom
1.0
8.0783 0.0000 0.0000
-4.0392 5.5379 -4.0558
0.0000 0.1433 8.6086
Cu Br Cd
1 8 3
direct
0.0000 0.0000 0.0000
0.2410 0.9939 0.2191
0.7501 0.5002 0.2267
0.2220 0.4441 0.2093
0.2470 0.0061 0.7809
0.7590 0.0061 0.7809
0.2499 0.4998 0.7733
0.7530 0.9939 0.2191
0.7780 0.5559 0.7907
0.5000 0.5000 0.0000
0.0000 0.5000 0.0000
0.5000 0.0000 0.0000

***

Record 9
Y2ErSc2, relaxed, DFT PBE; total energy = -58.9 eV/cell; N(E_F) = 7.6 states/eV/f.u.; energy above the lowest structure with this stoichiometry = 0 meV per atom; calculated volume = 29.24 Å³/atom
1.0
8.4963 -0.2270 -4.4562
-5.4630 7.8900 -0.0203
-2.1583 -1.3266 6.0913
Sc Er Y
4 2 4
direct
0.3414 0.2162 0.9825
0.8250 0.3809 0.7240
0.2662 0.6411 0.4825
0.8431 0.8990 0.2240
0.0735 0.7271 0.6550
0.4279 0.5815 0.1550
0.4919 0.4196 0.6792
0.7597 0.1874 0.1792
0.7980 0.0360 0.7093
0.1733 0.9112 0.2093

***

Record 10
Ba3Sb4Pb2, relaxed, DFT PBE; formation energy (no corrections) = -5.5 eV per formula unit; total energy = -35.2 eV/cell; N(E_F) = 3.5 states/eV/f.u.; energy above the lowest structure with this stoichiometry = 70 meV per atom; calculated volume = 38.00 Å³/atom
1.0
-1.3285 0.4123 -5.3247
-5.4350 -1.5791 4.0778
1.7361 10.2480 0.3603
Sb Ba Pb
4 3 2
direct
0.2739 0.5478 0.9522
0.0901 0.1802 0.3804
0.7261 0.4522 0.0478
0.9099 0.8198 0.6196
0.3775 0.7549 0.3097
0.6225 0.2451 0.6903
0.0000 0.0000 0.0000
0.6908 0.3815 0.3468
0.3092 0.6185 0.6532

***

Record 11
Ge3BiPd, relaxed, DFT PBE; total energy = -21.8 eV/cell; N(E_F) = 2.2 states/eV/f.u.; energy above the lowest structure with this stoichiometry = 0 meV per atom; calculated volume = 23.93 Å³/atom
1.0
-2.4051 1.4863 4.0359
0.3353 -4.5452 1.8737
4.2878 1.1891 2.1173
Ge Pd Bi
3 1 1
direct
0.0000 0.5000 0.0000
0.0000 0.0000 0.5000
0.5000 0.0000 0.0000
0.0000 0.0000 0.0000
0.5000 0.5000 0.5000